# 1
DFT (PBE) results for a geometry-optimized BaLi2CdAu2 structure.

The total energy comes out at -2.726 eV/atom. The calculation puts the density of states at the Fermi level at 3.334 states/eV/cell. Its space-group type is P-3m1. The formation energy is -0.523 eV per atom. The calculation puts the spin magnetization at 0.0 μB/cell.

Cell lengths 4.641, 4.641, 7.598 Å; angles 90.00, 90.00, 120.00 degrees
Atoms (fractional coordinates):
Ba1 0.000 0.000 0.000
Li1 0.333 0.667 0.648
Li2 0.667 0.333 0.352
Cd1 0.000 0.000 0.500
Au1 0.333 0.667 0.292
Au2 0.667 0.333 0.708

***

# 2
DFT (PBE) results for a geometry-optimized Ba2LiCd3Au4 structure.

The total energy comes out at -2.649 eV/atom. The calculation puts the density of states at the Fermi level at 4.748 states/eV/cell. Its space-group type is P-4m2. The formation energy is -0.488 eV per atom. The calculation puts the spin magnetization at 0.0 μB/cell.

Cell lengths 5.010, 5.010, 10.672 Å; angles 90.00, 90.00, 90.00 degrees
Atoms (fractional coordinates):
Ba1 0.000 0.500 0.239
Ba2 0.500 0.000 0.761
Li1 0.000 0.000 0.500
Cd1 0.000 0.500 0.875
Cd2 0.500 0.000 0.125
Cd3 0.500 0.500 0.500
Au1 0.000 0.000 0.000
Au2 0.000 0.500 0.616
Au3 0.500 0.000 0.384
Au4 0.500 0.500 0.000

***

# 3
DFT (PBE) results for a geometry-optimized BaLiCdAu3 structure.

The total energy comes out at -2.848 eV/atom. The calculation puts the density of states at the Fermi level at 4.051 states/eV/cell. Its space-group type is Cmcm. The formation energy is -0.417 eV per atom. The calculation puts the spin magnetization at 0.0 μB/cell.

Cell lengths 7.272, 7.272, 6.832 Å; angles 90.00, 90.00, 126.39 degrees
Atoms (fractional coordinates):
Ba1 0.199 0.801 0.750
Ba2 0.801 0.199 0.250
Li1 0.448 0.552 0.750
Li2 0.552 0.448 0.250
Cd1 0.134 0.866 0.250
Cd2 0.866 0.134 0.750
Au1 0.232 0.232 0.000
Au2 0.232 0.232 0.500
Au3 0.351 0.649 0.250
Au4 0.649 0.351 0.750
Au5 0.768 0.768 0.000
Au6 0.768 0.768 0.500

***

# 4
DFT (PBE) results for a geometry-optimized Ba2Li3Cd12Au structure.

The total energy comes out at -1.443 eV/atom. The calculation puts the density of states at the Fermi level at 8.211 states/eV/cell. Its space-group type is R-3m. The formation energy is -0.118 eV per atom. The calculation puts the spin magnetization at 0.0 μB/cell.

Cell lengths 11.560, 11.560, 11.560 Å; angles 36.23, 36.23, 36.23 degrees
Atoms (fractional coordinates):
Ba1 0.145 0.145 0.145
Ba2 0.855 0.855 0.855
Li1 0.000 0.500 0.500
Li2 0.500 0.000 0.500
Li3 0.500 0.500 0.000
Cd1 0.091 0.091 0.683
Cd2 0.091 0.683 0.091
Cd3 0.132 0.583 0.583
Cd4 0.317 0.909 0.909
Cd5 0.417 0.417 0.868
Cd6 0.417 0.868 0.417
Cd7 0.583 0.132 0.583
Cd8 0.583 0.583 0.132
Cd9 0.683 0.091 0.091
Cd10 0.868 0.417 0.417
Cd11 0.909 0.317 0.909
Cd12 0.909 0.909 0.317
Au1 0.500 0.500 0.500

***

# 5
DFT (PBE) results for a geometry-optimized BaLi2CdAu5 structure.

The total energy comes out at -2.912 eV/atom. The calculation puts the density of states at the Fermi level at 2.464 states/eV/cell. Its space-group type is P4/mmm. The formation energy is -0.351 eV per atom. The calculation puts the spin magnetization at 0.0 μB/cell.

Cell lengths 5.006, 5.006, 7.759 Å; angles 90.00, 90.00, 90.00 degrees
Atoms (fractional coordinates):
Ba1 0.000 0.000 0.000
Li1 0.500 0.500 0.332
Li2 0.500 0.500 0.668
Cd1 0.000 0.000 0.500
Au1 0.000 0.500 0.303
Au2 0.000 0.500 0.697
Au3 0.500 0.000 0.303
Au4 0.500 0.000 0.697
Au5 0.500 0.500 0.000

***

# 6
DFT (PBE) results for a geometry-optimized BaLi4CdAu2 structure.

The total energy comes out at -2.491 eV/atom. The calculation puts the density of states at the Fermi level at 3.504 states/eV/cell. Its space-group type is R-3m. The formation energy is -0.360 eV per atom. The calculation puts the spin magnetization at 0.0 μB/cell.

Cell lengths 9.868, 9.868, 9.868 Å; angles 26.71, 26.71, 26.71 degrees
Atoms (fractional coordinates):
Ba1 0.000 0.000 0.000
Li1 0.132 0.132 0.132
Li2 0.409 0.409 0.409
Li3 0.591 0.591 0.591
Li4 0.868 0.868 0.868
Cd1 0.500 0.500 0.500
Au1 0.238 0.238 0.238
Au2 0.762 0.762 0.762

***

# 7
DFT (PBE) results for a geometry-optimized BaLiCd2Au2 structure.

The total energy comes out at -2.526 eV/atom. The calculation puts the density of states at the Fermi level at 1.497 states/eV/cell. Its space-group type is P-3m1. The formation energy is -0.489 eV per atom. The calculation puts the spin magnetization at 0.0 μB/cell.

Cell lengths 4.842, 4.842, 7.541 Å; angles 90.00, 90.00, 120.00 degrees
Atoms (fractional coordinates):
Ba1 0.000 0.000 0.000
Li1 0.000 0.000 0.500
Cd1 0.333 0.667 0.332
Cd2 0.667 0.333 0.668
Au1 0.333 0.667 0.714
Au2 0.667 0.333 0.286

***

# 8
DFT (PBE) results for a geometry-optimized BaLi2Cd4Au structure.

The total energy comes out at -1.859 eV/atom. The calculation puts the density of states at the Fermi level at 4.008 states/eV/cell. Its space-group type is R-3m. The formation energy is -0.273 eV per atom. The calculation puts the spin magnetization at 0.0 μB/cell.

Cell lengths 10.830, 10.830, 10.830 Å; angles 25.08, 25.08, 25.08 degrees
Atoms (fractional coordinates):
Ba1 0.000 0.000 0.000
Li1 0.225 0.225 0.225
Li2 0.775 0.775 0.775
Cd1 0.131 0.131 0.131
Cd2 0.408 0.408 0.408
Cd3 0.592 0.592 0.592
Cd4 0.869 0.869 0.869
Au1 0.500 0.500 0.500

***

# 9
DFT (PBE) results for a geometry-optimized BaLiCd2Au structure.

The total energy comes out at -2.200 eV/atom. The calculation puts the density of states at the Fermi level at 2.404 states/eV/cell. Its space-group type is Imm2. The formation energy is -0.411 eV per atom. The calculation puts the spin magnetization at 0.0 μB/cell.

Cell lengths 7.421, 7.421, 7.421 Å; angles 144.81, 144.76, 50.65 degrees
Atoms (fractional coordinates):
Ba1 0.000 0.000 0.000
Li1 0.271 0.771 0.500
Cd1 0.625 0.625 0.000
Cd2 0.765 0.265 0.500
Au1 0.403 0.403 0.000

***

# 10
DFT (PBE) results for a geometry-optimized BaLiCd2Au structure.

The total energy comes out at -2.054 eV/atom. The calculation puts the density of states at the Fermi level at 3.123 states/eV/cell. Its space-group type is P4/mmm. The formation energy is -0.265 eV per atom. The calculation puts the spin magnetization at 0.0 μB/cell.

Cell lengths 5.391, 5.391, 5.066 Å; angles 90.00, 90.00, 90.00 degrees
Atoms (fractional coordinates):
Ba1 0.000 0.000 0.000
Li1 0.500 0.500 0.000
Cd1 0.000 0.500 0.500
Cd2 0.500 0.000 0.500
Au1 0.500 0.500 0.500

***

# 11
DFT (PBE) results for a geometry-optimized Ba3Mg2Cd2Au4 structure.

The total energy comes out at -2.699 eV/atom. The calculation puts the density of states at the Fermi level at 8.701 states/eV/cell. Its space-group type is P-3m1. The formation energy is -0.526 eV per atom. The calculation puts the spin magnetization at 0.0 μB/cell.

Cell lengths 4.839, 4.839, 16.668 Å; angles 90.00, 90.00, 120.00 degrees
Atoms (fractional coordinates):
Ba1 0.000 0.000 0.000
Ba2 0.000 0.000 0.280
Ba3 0.000 0.000 0.720
Mg1 0.333 0.667 0.559
Mg2 0.667 0.333 0.441
Cd1 0.333 0.667 0.141
Cd2 0.667 0.333 0.859
Au1 0.333 0.667 0.397
Au2 0.333 0.667 0.864
Au3 0.667 0.333 0.136
Au4 0.667 0.333 0.603

***

# 12
DFT (PBE) results for a geometry-optimized Ba2Mg6CdAu structure.

The total energy comes out at -1.899 eV/atom. The calculation puts the density of states at the Fermi level at 7.560 states/eV/cell. Its space-group type is Fmmm. The formation energy is -0.139 eV per atom. The calculation puts the spin magnetization at 0.0 μB/cell.

Cell lengths 7.575, 7.574, 7.571 Å; angles 60.02, 60.01, 59.97 degrees
Atoms (fractional coordinates):
Ba1 0.250 0.250 0.250
Ba2 0.750 0.750 0.750
Mg1 0.243 0.243 0.757
Mg2 0.243 0.757 0.243
Mg3 0.243 0.757 0.757
Mg4 0.757 0.243 0.243
Mg5 0.757 0.243 0.757
Mg6 0.757 0.757 0.243
Cd1 0.500 0.500 0.500
Au1 0.000 0.000 0.000

***

How do the records compare in V? In the order shown, they have 142 268 291 483 194 171 153 201 135 147 338 307 Å³/cell.